No. 1
Material: PuThHgRh
Method: DFT, PBE
State: relaxed

For the formation energy, the calculation gives -0.27 eV per atom.

The structure belongs to space group F-43m (No. 216); the cell edges are 7.3074, 7.3074 and 7.3074 Å and the angles 90.00°, 90.00° and 90.00°. The inequivalent atoms are Pu at (0.0000, 0.0000, 0.0000), Th at (0.0000, 0.0000, 0.5000), Hg at (0.2500, 0.2500, 0.2500) and Rh at (0.2500, 0.2500, 0.7500).

No. 2
Material: KGaGe2F8
Method: DFT, PBE
State: relaxed

The value obtained for the energy relative to the elements, uncorrected is -2.420 eV/atom.

The structure belongs to space group P-1 (No. 2); the cell edges are 5.0357, 5.5602 and 7.4614 Å and the angles 97.89°, 92.63° and 92.86°. The inequivalent atoms are K at (0.0000, 0.0000, 0.0000), Ga at (0.0000, 0.0000, 0.5000), Ge at (0.4902, 0.5601, 0.2708), F at (0.1484, 0.1918, 0.3435), F at (0.2506, 0.7454, 0.4307), F at (0.2534, 0.1426, 0.7066) and F at (0.3114, 0.6575, 0.0710).

No. 3
Material: NaSrMgTl
Method: DFT, PBE
State: relaxed

For the formation energy, the calculation gives -0.16 eV per atom.

The structure belongs to space group F-43m (No. 216); the cell edges are 7.7601, 7.7601 and 7.7601 Å and the angles 90.00°, 90.00° and 90.00°. The inequivalent atoms are Na at (0.0000, 0.0000, 0.0000), Sr at (0.2500, 0.2500, 0.2500), Mg at (0.2500, 0.2500, 0.7500) and Tl at (0.0000, 0.0000, 0.5000).

No. 4
Material: H2OsPbO6
Method: DFT, PBE
State: relaxed

The structure belongs to space group P1 (No. 1); the cell edges are 4.9521, 5.5835 and 5.6866 Å and the angles 89.81°, 68.70° and 65.41°. The inequivalent atoms are H at (0.0000, 0.0000, 0.0000), H at (0.2148, 0.2784, 0.3488), Os at (0.5916, 0.5208, 0.1789), Pb at (0.5575, 0.0815, 0.7003), O at (0.2469, 0.7888, 0.4007), O at (0.4123, 0.4822, 0.9624), O at (0.4297, 0.2412, 0.3477), O at (0.8010, 0.6869, 0.9901), O at (0.8148, 0.4022, 0.3764) and O at (0.9965, 0.1523, 0.9132).

No. 5
Material: Sr2Se
Method: DFT, PBE
State: relaxed

The value obtained for the energy relative to the elements, uncorrected is -1.060 eV/atom.

The structure belongs to space group Pa-3 (No. 205); the cell edges are 7.7579, 7.7579 and 7.7579 Å and the angles 90.00°, 90.00° and 90.00°. The inequivalent atoms are Sr at (0.1620, 0.1620, 0.1620) and Se at (0.0000, 0.0000, 0.5000).

No. 6
Material: Ba3Hg2Ge4
Method: DFT, PBE
State: relaxed

For the formation energy, the calculation gives -0.50 eV per atom.

The structure belongs to space group C2/m (No. 12); the cell edges are 12.5973, 4.6088 and 9.4724 Å and the angles 90.00°, 96.67° and 90.00°. The inequivalent atoms are Ba at (0.0000, 0.0000, 0.0000), Ba at (0.1643, 0.5000, 0.6677), Hg at (0.1129, 0.5000, 0.2778), Ge at (0.0653, 0.0000, 0.4057) and Ge at (0.2011, 0.5000, 0.0258).

Number 1: V 24.4 Å³/atom, total DFT energy (no corrections) -7.62 eV per atom. Number 2: V 17.2 Å³/atom, total DFT energy (no corrections) -4.78 eV per atom. Number 3: V 29.2 Å³/atom, total DFT energy (no corrections) -1.90 eV per atom. Number 4: V 13.1 Å³/atom, total DFT energy (no corrections) -6.13 eV per atom. Number 5: V 38.9 Å³/atom, total DFT energy (no corrections) -3.34 eV per atom. Number 6: V 30.3 Å³/atom, total DFT energy (no corrections) -3.26 eV per atom.